Below is an optimized crystal structure of CdSnIO2, with properties calculated at the PBE level.

Values from the calculation:
Energy relative to the elements, uncorrected ... -430 kJ/mol of formula units
Crystal system ... orthorhombic
Offset from the most stable computed form ... 0 meV per atom

a = 5.630 Å, b = 5.690 Å, c = 6.973 Å
α = 114.08°, β = 90.00°, γ = 90.00°
Positions (direct):
Cd  0.250  0.914  0.828
Cd  0.750  0.086  0.172
O  0.500  0.266  0.000
O  0.000  0.734  0.000
O  0.500  0.734  0.000
O  0.000  0.266  0.000
I  0.250  0.249  0.499
I  0.750  0.751  0.501
Sn  0.750  0.427  0.855
Sn  0.250  0.573  0.145

Below is an optimized crystal structure of CdSnIO2, with properties calculated at the PBE level.

Values from the calculation:
Energy relative to the elements, uncorrected ... 21 kJ/mol of formula units
Crystal system ... tetragonal
Offset from the most stable computed form ... 934 meV per atom

a = 4.431 Å, b = 4.431 Å, c = 5.795 Å
α = 90.00°, β = 90.00°, γ = 90.00°
Site moments in Bohr magnetons follow the coordinates.
Positions (direct):
O  0.000  0.500  0.000  -0.37
O  0.500  0.000  0.000  -0.37
I  0.000  0.000  0.500  0.01
Sn  0.500  0.500  0.500  0.05
Cd  0.000  0.000  0.000  0.00

Below is an optimized crystal structure of CdSnIO2, with properties calculated at the PBE level.

Values from the calculation:
Energy relative to the elements, uncorrected ... -242 kJ/mol of formula units
Crystal system ... tetragonal
Offset from the most stable computed form ... 389 meV per atom

a = 4.136 Å, b = 4.136 Å, c = 6.482 Å
α = 90.00°, β = 90.00°, γ = 90.00°
Positions (direct):
Cd  0.500  0.500  0.500
Sn  0.000  0.000  0.000
O  0.500  0.000  0.000
O  0.000  0.500  0.000
I  0.000  0.000  0.500

Below is an optimized crystal structure of CdSnI2O, with properties calculated at the PBE level.

Values from the calculation:
Energy relative to the elements, uncorrected ... -165 kJ/mol of formula units
Crystal system ... tetragonal
Offset from the most stable computed form ... 0 meV per atom

a = 6.147 Å, b = 6.147 Å, c = 4.056 Å
α = 90.00°, β = 90.00°, γ = 90.00°
Positions (direct):
O  0.000  0.000  0.500
Sn  0.000  0.000  0.000
Cd  0.500  0.500  0.500
I  0.500  0.000  0.000
I  0.000  0.500  0.000

Below is an optimized crystal structure of CdSnI2O, with properties calculated at the PBE level.

Values from the calculation:
Energy relative to the elements, uncorrected ... -73 kJ/mol of formula units
Crystal system ... tetragonal
Offset from the most stable computed form ... 189 meV per atom

a = 6.055 Å, b = 6.055 Å, c = 4.077 Å
α = 90.00°, β = 90.00°, γ = 90.00°
Positions (direct):
Sn  0.500  0.500  0.500
I  0.500  0.000  0.000
I  0.000  0.500  0.000
O  0.000  0.000  0.500
Cd  0.000  0.000  0.000

Below is an optimized crystal structure of Sr2CdIO6, with properties calculated at the PBE level.

Values from the calculation:
Energy relative to the elements, uncorrected ... -1529 kJ/mol of formula units
Crystal system ... trigonal

a = 6.003 Å, b = 6.003 Å, c = 5.882 Å
α = 59.30°, β = 59.30°, γ = 59.99°
Positions (direct):
Sr  0.072  0.073  0.782
Sr  0.560  0.560  0.321
I  0.316  0.316  0.052
O  0.163  0.005  0.296
O  0.537  0.163  0.295
O  0.005  0.536  0.296
O  0.627  0.096  0.807
O  0.469  0.628  0.807
O  0.096  0.469  0.808
Cd  0.816  0.816  0.552

Below is an optimized crystal structure of CdTcIO4, with properties calculated at the PBE level.

Values from the calculation:
Energy relative to the elements, uncorrected ... -794 kJ/mol of formula units
Crystal system ... monoclinic

a = 6.306 Å, b = 6.306 Å, c = 10.250 Å
α = 66.67°, β = 66.67°, γ = 73.74°
Positions (direct):
O  0.478  0.850  0.736
O  0.757  0.757  0.463
O  0.443  0.443  0.691
O  0.243  0.243  0.537
O  0.522  0.150  0.264
O  0.557  0.557  0.309
O  0.850  0.478  0.736
O  0.150  0.522  0.264
I  0.847  0.847  0.920
I  0.153  0.153  0.080
Cd  0.171  0.171  0.794
Cd  0.829  0.829  0.206
Tc  0.369  0.369  0.344
Tc  0.631  0.631  0.656

Below is an optimized crystal structure of CdTcI2O, with properties calculated at the PBE level.

Values from the calculation:
Energy relative to the elements, uncorrected ... 309 kJ/mol of formula units
Crystal system ... tetragonal
Offset from the most stable computed form ... 903 meV per atom

a = 5.971 Å, b = 5.971 Å, c = 4.048 Å
α = 90.00°, β = 90.00°, γ = 90.00°
Site moments in Bohr magnetons follow the coordinates.
Positions (direct):
Tc  0.500  0.500  0.500  3.82
Cd  0.000  0.000  0.000  0.02
O  0.000  0.000  0.500  0.32
I  0.500  0.000  0.000  0.08
I  0.000  0.500  0.000  0.08

Below is an optimized crystal structure of CdTcI2O, with properties calculated at the PBE level.

Values from the calculation:
Energy relative to the elements, uncorrected ... -127 kJ/mol of formula units
Crystal system ... tetragonal
Offset from the most stable computed form ... 0 meV per atom

a = 5.676 Å, b = 5.676 Å, c = 3.780 Å
α = 90.00°, β = 90.00°, γ = 90.00°
Positions (direct):
Cd  0.500  0.500  0.500
I  0.500  0.000  0.000
I  0.000  0.500  0.000
Tc  0.000  0.000  0.000
O  0.000  0.000  0.500

Below is an optimized crystal structure of CdTeI2O, with properties calculated at the PBE level.

Values from the calculation:
Energy relative to the elements, uncorrected ... 433 kJ/mol of formula units
Crystal system ... tetragonal
Offset from the most stable computed form ... 1042 meV per atom

a = 5.800 Å, b = 5.800 Å, c = 5.866 Å
α = 90.00°, β = 90.00°, γ = 90.00°
Site moments in Bohr magnetons follow the coordinates.
Positions (direct):
Te  0.000  0.000  0.500  0.78
I  0.000  0.500  0.000  0.14
I  0.500  0.000  0.000  0.14
Cd  0.000  0.000  0.000  0.00
O  0.500  0.500  0.500  0.02

Below is an optimized crystal structure of CdTeI2O, with properties calculated at the PBE level.

Values from the calculation:
Energy relative to the elements, uncorrected ... 115 kJ/mol of formula units
Crystal system ... tetragonal
Offset from the most stable computed form ... 384 meV per atom

a = 5.324 Å, b = 5.324 Å, c = 4.631 Å
α = 90.00°, β = 90.00°, γ = 90.00°
Positions (direct):
Te  0.000  0.000  0.500
Cd  0.500  0.500  0.500
O  0.000  0.000  0.000
I  0.500  0.000  0.000
I  0.000  0.500  0.000

Below is an optimized crystal structure of CdTeI2O, with properties calculated at the PBE level.

Values from the calculation:
Energy relative to the elements, uncorrected ... -70 kJ/mol of formula units
Crystal system ... tetragonal
Offset from the most stable computed form ... 0 meV per atom

a = 6.221 Å, b = 6.221 Å, c = 4.088 Å
α = 90.00°, β = 90.00°, γ = 90.00°
Positions (direct):
I  0.500  0.000  0.000
I  0.000  0.500  0.000
Cd  0.500  0.500  0.500
O  0.000  0.000  0.500
Te  0.000  0.000  0.000